{
  "formula": "YMg2Mo",
  "functional": "PBE-GGA",
  "state": "relaxed",
  "cell": [[3.1227, 0.0000, 0.0000], [0.0000, 3.8183, 0.0000], [0.0000, 0.0000, 7.4770]],
  "species": ["Y", "Mo", "Mg", "Mg"],
  "frac_coords": [[0.5000, 0.5000, 0.7113], [0.0000, 0.0000, 0.4740], [0.0000, 0.0000, 0.0396], [0.5000, 0.5000, 0.2750]],
  "crystal_system": "orthorhombic",
  "m_tot_mub_per_cell": 0.00,
  "final_energy_ev_per_cell": -19.289,
  "space_group": "Pmm2, No. 25"
}

=====

{
  "formula": "La2InGa",
  "functional": "PBE-GGA",
  "state": "relaxed",
  "cell": [[5.9329, -2.0934, -3.7320], [-1.7732, 6.0363, 3.7320], [-4.2124, 0.2784, 5.9739]],
  "species": ["La", "La", "Ga", "In"],
  "frac_coords": [[0.0000, 0.7586, 0.7586], [0.0000, 0.2414, 0.2414], [0.0000, 0.0000, 0.0000], [0.0000, 0.5000, 0.5000]],
  "crystal_system": "orthorhombic",
  "m_tot_mub_per_cell": 0.00,
  "final_energy_ev_per_cell": -14.789,
  "space_group": "Immm, No. 71"
}

=====

{
  "formula": "AgHgMo2",
  "functional": "PBE-GGA",
  "state": "relaxed",
  "cell": [[4.9653, 0.0016, 0.0107], [4.2147, 2.6250, 0.0107], [0.4455, 0.1275, 5.3518]],
  "species": ["Mo", "Mo", "Ag", "Hg"],
  "frac_coords": [[0.0036, 0.0036, 0.0259], [0.2457, 0.2457, 0.2298], [0.5002, 0.5002, 0.5067], [0.7505, 0.7505, 0.7377]],
  "crystal_system": "monoclinic",
  "m_tot_mub_per_cell": 0.00,
  "final_energy_ev_per_cell": -22.665,
  "space_group": "Cm, No. 8"
}

=====

{
  "formula": "KCa2P",
  "functional": "PBE-GGA",
  "state": "relaxed",
  "cell": [[-1.6288, -0.6574, -4.6642], [-0.9286, -4.7935, 0.9999], [-4.3363, 1.1229, 1.3560]],
  "species": ["Ca", "Ca", "P", "K"],
  "frac_coords": [[0.0000, 0.0000, 0.0000], [0.5000, 0.5000, 0.0000], [0.0000, 0.5000, 0.5000], [0.5000, 0.0000, 0.5000]],
  "crystal_system": "tetragonal",
  "m_tot_mub_per_cell": 0.00,
  "final_energy_ev_per_cell": -11.273,
  "space_group": "P4/mmm, No. 123"
}

=====

{
  "formula": "NaTm2Te",
  "functional": "PBE-GGA",
  "state": "relaxed",
  "cell": [[3.8227, 0.0000, 0.0000], [1.9114, 3.3106, 0.0000], [1.9114, 1.1035, 11.1049]],
  "species": ["Te", "Tm", "Tm", "Na"],
  "frac_coords": [[0.5000, 0.5000, 0.5000], [0.1051, 0.1051, 0.6846], [0.8949, 0.8949, 0.3154], [0.0000, 0.0000, 0.0000]],
  "raw_formation_energy_kj_per_mol_fu": -87.3,
  "crystal_system": "trigonal",
  "m_tot_mub_per_cell": 0.00,
  "final_energy_ev_per_cell": -14.309,
  "space_group": "R-3m, No. 166"
}

=====

{
  "formula": "Sr2GaBP",
  "functional": "PBE-GGA",
  "state": "relaxed",
  "cell": [[-1.5917, -4.3797, -3.7428], [3.2597, 1.1714, -2.7569], [3.7178, -3.7471, 2.8038]],
  "species": ["B", "Ga", "Sr", "Sr", "P"],
  "frac_coords": [[0.5000, 0.5000, 0.5000], [0.0000, 0.0000, 0.0000], [0.0000, 0.0000, 0.5000], [0.5000, 0.0000, 0.0000], [0.0000, 0.5000, 0.0000]],
  "crystal_system": "tetragonal",
  "m_tot_mub_per_cell": 1.76,
  "final_energy_ev_per_cell": -14.707,
  "space_group": "P4/mmm, No. 123"
}

=====

{
  "formula": "La6Ho2Er",
  "functional": "PBE-GGA",
  "state": "relaxed",
  "cell": [[4.7426, -8.9291, 0.0000], [4.7426, 8.9291, 0.0000], [0.0000, 0.0000, 3.6957]],
  "species": ["La", "La", "La", "La", "La", "La", "Ho", "Ho", "Er"],
  "frac_coords": [[0.8378, 0.5053, 0.0000], [0.5053, 0.8378, 0.0000], [0.6791, 0.6791, 0.5000], [0.1622, 0.4947, 0.0000], [0.3209, 0.3209, 0.5000], [0.4947, 0.1622, 0.0000], [0.1712, 0.8288, 0.5000], [0.8288, 0.1712, 0.5000], [0.0000, 0.0000, 0.0000]],
  "crystal_system": "orthorhombic",
  "m_tot_mub_per_cell": 0.00,
  "final_energy_ev_per_cell": -42.220,
  "space_group": "Cmmm, No. 65"
}

=====

{
  "formula": "Ge2S",
  "functional": "PBE-GGA",
  "state": "relaxed",
  "cell": [[-0.2420, 3.1065, -4.0325], [1.9694, -3.1358, -2.5339], [-11.1429, -6.0840, -1.1312]],
  "species": ["Ge", "Ge", "Ge", "Ge", "Ge", "Ge", "Ge", "Ge", "S", "S", "S", "S"],
  "frac_coords": [[0.1207, 0.0000, 0.7646], [0.5417, 0.0000, 0.9047], [0.1207, 0.5000, 0.2646], [0.4583, 0.0000, 0.0953], [0.8793, 0.5000, 0.7354], [0.4583, 0.5000, 0.5953], [0.8793, 0.0000, 0.2354], [0.5417, 0.5000, 0.4047], [0.7145, 0.0000, 0.3945], [0.2855, 0.5000, 0.1055], [0.7145, 0.5000, 0.8945], [0.2855, 0.0000, 0.6055]],
  "raw_formation_energy_kj_per_mol_fu": 2.2,
  "crystal_system": "monoclinic",
  "m_tot_mub_per_cell": 0.00,
  "final_energy_ev_per_cell": -53.355,
  "space_group": "C2/m, No. 12"
}

=====

{
  "formula": "Ca2CdTc",
  "functional": "PBE-GGA",
  "state": "relaxed",
  "cell": [[-1.4945, 5.0131, 1.8066], [-4.5381, 1.6014, -2.7330], [1.1726, -4.6720, 2.7251]],
  "species": ["Ca", "Ca", "Tc", "Cd"],
  "frac_coords": [[0.0000, 0.0000, 0.0000], [0.2500, 0.7500, 0.5000], [0.7500, 0.2500, 0.5000], [0.5000, 0.5000, 0.0000]],
  "crystal_system": "tetragonal",
  "m_tot_mub_per_cell": 0.69,
  "final_energy_ev_per_cell": -13.694,
  "space_group": "I-4m2, No. 119"
}

=====

{
  "formula": "TbHo5Pd2",
  "functional": "PBE-GGA",
  "state": "relaxed",
  "cell": [[-1.9689, -2.3827, -2.1195], [-1.7237, -1.3507, 6.4332], [-13.4747, 12.0880, -1.0724]],
  "species": ["Pd", "Pd", "Pd", "Pd", "Ho", "Ho", "Ho", "Ho", "Ho", "Ho", "Ho", "Ho", "Ho", "Ho", "Tb", "Tb"],
  "frac_coords": [[0.2758, 0.5516, 0.6337], [0.7242, 0.4484, 0.3663], [0.2758, 0.5516, 0.8663], [0.7242, 0.4484, 0.1337], [0.4160, 0.8320, 0.7500], [0.0535, 0.1070, 0.4072], [0.3361, 0.6723, 0.4496], [0.5840, 0.1680, 0.2500], [0.3361, 0.6723, 0.0504], [0.6639, 0.3277, 0.5504], [0.0535, 0.1070, 0.0928], [0.9465, 0.8930, 0.9072], [0.9465, 0.8930, 0.5928], [0.6639, 0.3277, 0.9496], [0.6827, 0.3654, 0.7500], [0.3173, 0.6346, 0.2500]],
  "crystal_system": "orthorhombic",
  "m_tot_mub_per_cell": 0.00,
  "final_energy_ev_per_cell": -81.848,
  "space_group": "Cmcm, No. 63"
}

=====

{
  "formula": "Be5Pt4",
  "functional": "PBE-GGA",
  "state": "relaxed",
  "cell": [[-4.2263, 0.5109, -5.4315], [5.8581, -3.6114, -0.5139], [-2.4769, -4.2353, 1.5289]],
  "species": ["Be", "Be", "Be", "Be", "Be", "Be", "Be", "Be", "Be", "Be", "Pt", "Pt", "Pt", "Pt", "Pt", "Pt", "Pt", "Pt"],
  "frac_coords": [[0.3333, 0.6667, 0.5000], [0.0000, 0.7057, 0.2500], [0.6667, 0.3333, 0.5000], [0.2943, 0.2943, 0.2500], [0.2943, 0.0000, 0.7500], [0.7057, 0.0000, 0.2500], [0.3333, 0.6667, 0.0000], [0.0000, 0.2943, 0.7500], [0.7057, 0.7057, 0.7500], [0.6667, 0.3333, 0.0000], [0.3824, 0.0000, 0.2500], [0.0000, 0.3824, 0.2500], [0.6176, 0.6176, 0.2500], [0.6176, 0.0000, 0.7500], [0.0000, 0.0000, 0.5000], [0.0000, 0.0000, 0.0000], [0.3824, 0.3824, 0.7500], [0.0000, 0.6176, 0.7500]],
  "crystal_system": "hexagonal",
  "m_tot_mub_per_cell": 0.00,
  "final_energy_ev_per_cell": -95.022,
  "space_group": "P6_3/mcm, No. 193"
}